First-principles (PBE) data for an optimized crystal structure of Si2P2I, as listed in the Alexandria database.

Values from the calculation:
Crystal system = tetragonal
Raw formation energy = 2.20 eV per formula unit
N(E_F) = 0.134 states/eV per atom
Size of the total moment = 0.00 μB per cell
E_tot = -4.20 eV/atom
Relative energy among the computed polymorphs = 239 meV/atom

The structure in POSCAR format:
```
Si2P2I
1.0
9.186 0.000 0.000
0.000 9.186 0.000
0.000 0.000 3.166
P Si I
4 4 2
Direct
0.910 0.410 0.500 P
0.410 0.090 0.500 P
0.590 0.910 0.500 P
0.090 0.590 0.500 P
0.885 0.615 0.000 Si
0.615 0.115 0.000 Si
0.115 0.385 0.000 Si
0.385 0.885 0.000 Si
0.500 0.500 0.000 I
0.000 0.000 0.000 I
```

First-principles (PBE) data for an optimized crystal structure of SiP2I, as listed in the Alexandria database.

Values from the calculation:
Crystal system = cubic
Raw formation energy = 4.14 eV per formula unit
N(E_F) = 0.540 states/eV per atom
Size of the total moment = 0.00 μB per cell
E_tot = -3.41 eV/atom
Relative energy among the computed polymorphs = 573 meV/atom

The structure in POSCAR format:
```
SiP2I
1.0
0.000 3.355 3.355
3.355 0.000 3.355
3.355 3.355 0.000
P I Si
2 1 1
Direct
0.250 0.250 0.250 P
0.750 0.750 0.750 P
0.500 0.500 0.500 I
0.000 0.000 0.000 Si
```

First-principles (PBE) data for an optimized crystal structure of Sm8Si3PI4, as listed in the Alexandria database.

Values from the calculation:
Crystal system = trigonal
Raw formation energy = -16.70 eV per formula unit
N(E_F) = 0.358 states/eV per atom
Size of the total moment = 0.00 μB per cell
E_tot = -5.15 eV/atom

The structure in POSCAR format:
```
Sm8Si3PI4
1.0
8.499 0.000 0.000
0.000 9.061 0.397
-4.249 -4.251 6.009
Sm Si I P
8 3 4 1
Direct
0.230 0.692 0.963 Sm
0.732 0.696 0.464 Sm
0.230 0.692 0.459 Sm
0.770 0.308 0.541 Sm
0.267 0.308 0.037 Sm
0.268 0.304 0.536 Sm
0.733 0.692 0.963 Sm
0.770 0.308 0.037 Sm
0.000 0.500 0.500 Si
0.500 0.500 0.000 Si
0.500 0.500 0.500 Si
0.000 0.000 0.000 I
0.500 0.000 0.000 I
0.000 0.000 0.500 I
0.500 0.000 0.500 I
0.000 0.500 0.000 P
```

First-principles (PBE) data for an optimized crystal structure of Sm4SiPI2, as listed in the Alexandria database.

Values from the calculation:
Crystal system = monoclinic
Raw formation energy = -9.20 eV per formula unit
N(E_F) = 0.360 states/eV per atom
Size of the total moment = 0.00 μB per cell
E_tot = -5.25 eV/atom

The structure in POSCAR format:
```
Sm4SiPI2
1.0
4.231 0.000 0.000
0.000 7.308 0.124
0.000 -2.576 7.574
P Sm Si I
1 4 1 2
Direct
0.500 0.500 0.000 P
0.500 0.234 0.192 Sm
0.000 0.273 0.811 Sm
0.000 0.727 0.189 Sm
0.500 0.766 0.808 Sm
0.000 0.000 0.000 Si
0.000 0.500 0.500 I
0.500 0.000 0.500 I
```

First-principles (PBE) data for an optimized crystal structure of Sr6SiP2I3, as listed in the Alexandria database.

Values from the calculation:
Crystal system = monoclinic
Raw formation energy = -14.30 eV per formula unit
N(E_F) = 0.402 states/eV per atom
Size of the total moment = 1.07 μB per cell
E_tot = -3.77 eV/atom

The structure in POSCAR format:
```
Sr6SiP2I3
1.0
-5.122 -1.580 -5.872
-2.108 -0.748 7.629
0.057 8.416 -0.531
Sr P I Si
6 2 3 1
Direct
0.595 0.940 0.804 Sr
0.727 0.727 0.201 Sr
0.273 0.273 0.799 Sr
0.405 0.060 0.196 Sr
0.940 0.595 0.804 Sr
0.060 0.405 0.196 Sr
0.664 0.336 0.000 P
0.336 0.664 0.000 P
0.832 0.168 0.500 I
0.168 0.832 0.500 I
0.500 0.500 0.500 I
0.000 0.000 0.000 Si
```

First-principles (PBE) data for an optimized crystal structure of SiTcP2I, as listed in the Alexandria database.

Values from the calculation:
Crystal system = tetragonal
Raw formation energy = 1.86 eV per formula unit
N(E_F) = 0.688 states/eV per atom
Size of the total moment = 0.00 μB per cell
E_tot = -5.26 eV/atom

The structure in POSCAR format:
```
SiTcP2I
1.0
-0.138 2.183 4.049
-2.267 -3.913 2.033
4.090 -1.795 1.107
P Tc Si I
2 1 1 1
Direct
0.500 0.000 0.000 P
0.000 0.000 0.500 P
0.000 0.000 0.000 Tc
0.000 0.500 0.000 Si
0.500 0.500 0.500 I
```

First-principles (PBE) data for an optimized crystal structure of SiTe2PI, as listed in the Alexandria database.

Values from the calculation:
Crystal system = tetragonal
Raw formation energy = 3.71 eV per formula unit
N(E_F) = 0.522 states/eV per atom
Size of the total moment = 0.00 μB per cell
E_tot = -2.99 eV/atom
Relative energy among the computed polymorphs = 0 meV/atom

The structure in POSCAR format:
```
SiTe2PI
1.0
5.318 0.000 0.000
0.000 5.318 0.000
0.000 0.000 5.244
Te Si I P
2 1 1 1
Direct
0.500 0.000 0.000 Te
0.000 0.500 0.000 Te
0.500 0.500 0.500 Si
0.000 0.000 0.500 I
0.000 0.000 0.000 P
```

First-principles (PBE) data for an optimized crystal structure of SiTePI2, as listed in the Alexandria database.

Values from the calculation:
Crystal system = tetragonal
Raw formation energy = 3.58 eV per formula unit
N(E_F) = 0.375 states/eV per atom
Size of the total moment = 0.00 μB per cell
E_tot = -2.70 eV/atom
Relative energy among the computed polymorphs = 0 meV/atom

The structure in POSCAR format:
```
SiTePI2
1.0
-5.220 -0.300 -0.953
0.857 -3.949 -3.452
-0.534 -3.688 4.086
Si I P Te
1 2 1 1
Direct
0.500 0.500 0.500 Si
0.000 0.500 0.000 I
0.500 0.000 0.000 I
0.000 0.000 0.000 P
0.000 0.000 0.500 Te
```

First-principles (PBE) data for an optimized crystal structure of Tl2SiPI, as listed in the Alexandria database.

Values from the calculation:
Crystal system = tetragonal
Raw formation energy = 0.84 eV per formula unit
N(E_F) = 0.428 states/eV per atom
Size of the total moment = 0.00 μB per cell
E_tot = -3.26 eV/atom

The structure in POSCAR format:
```
Tl2SiPI
1.0
-3.114 2.855 -4.563
-3.046 -3.308 0.008
-3.351 3.096 4.224
I Si P Tl
1 1 1 2
Direct
0.500 0.500 0.500 I
0.000 0.500 0.000 Si
0.000 0.000 0.000 P
0.000 0.000 0.500 Tl
0.500 0.000 0.000 Tl
```

First-principles (PBE) data for an optimized crystal structure of Sm3PI3, as listed in the Alexandria database.

Values from the calculation:
Crystal system = monoclinic
Raw formation energy = -9.54 eV per formula unit
N(E_F) = 0.492 states/eV per atom
Size of the total moment = 0.00 μB per cell
E_tot = -4.82 eV/atom

The structure in POSCAR format:
```
Sm3PI3
1.0
4.202 0.000 0.000
0.000 9.015 -0.266
0.000 0.265 12.292
I Sm P
6 6 2
Direct
0.250 0.383 0.367 I
0.750 0.625 0.123 I
0.750 0.617 0.633 I
0.250 0.862 0.879 I
0.750 0.138 0.121 I
0.250 0.375 0.877 I
0.250 0.319 0.624 Sm
0.750 0.120 0.839 Sm
0.250 0.880 0.161 Sm
0.750 0.088 0.390 Sm
0.250 0.912 0.610 Sm
0.750 0.681 0.376 Sm
0.250 0.882 0.384 P
0.750 0.118 0.616 P
```

First-principles (PBE) data for an optimized crystal structure of Sm2PI3, as listed in the Alexandria database.

Values from the calculation:
Crystal system = monoclinic
Raw formation energy = -8.11 eV per formula unit
Size of the total moment = 0.00 μB per cell
E_tot = -4.60 eV/atom

The structure in POSCAR format:
```
Sm2PI3
1.0
-4.269 1.357 0.786
-4.389 -1.382 -8.294
-5.420 -9.993 0.966
Sm I P
4 6 2
Direct
0.592 0.267 0.549 Sm
0.408 0.733 0.451 Sm
0.858 0.481 0.802 Sm
0.142 0.519 0.198 Sm
0.659 0.693 0.990 I
0.341 0.307 0.010 I
0.771 0.842 0.615 I
0.050 0.148 0.753 I
0.950 0.852 0.247 I
0.229 0.158 0.385 I
0.418 0.503 0.660 P
0.582 0.497 0.340 P
```

First-principles (PBE) data for an optimized crystal structure of Sm2PI2, as listed in the Alexandria database.

Values from the calculation:
Crystal system = trigonal
Raw formation energy = -7.69 eV per formula unit
N(E_F) = 0.304 states/eV per atom
Size of the total moment = 0.00 μB per cell
E_tot = -5.13 eV/atom

The structure in POSCAR format:
```
Sm2PI2
1.0
-2.794 -0.397 3.102
-1.676 -3.750 0.845
7.044 -3.526 8.728
Sm I P
2 2 1
Direct
0.622 0.622 0.133 Sm
0.378 0.378 0.867 Sm
0.228 0.228 0.315 I
0.772 0.772 0.685 I
0.000 0.000 0.000 P
```

Q: Which value of E_tot does entry 11 give?
A: -4.60 eV/atom

Q: size of the total moment of number 9 (Tl2SiPI)?
A: 0.00 μB per cell

Q: Which of these has the highest size of the total moment?
A: Sr6SiP2I3

Q: The highest size of the total moment belongs to which entry?
A: Sr6SiP2I3